[1]
The following is a PBE calculation of a relaxed structure of Hf2VHgSe, from Alexandria.

Cell lengths 4.9459, 4.9459, 4.5313 Å; angles 90.00, 90.00, 90.00 degrees
Closest atoms and distances in Å follow each position.
Fractional positions:
Hf (0.0000, 0.5000, 0.0000)  2 Se 2.47
Hf (0.5000, 0.0000, 0.0000)  2 Se 2.47
V (0.0000, 0.0000, 0.5000)  2 Se 2.27
Hg (0.5000, 0.5000, 0.5000)  8 Hf 3.35, 4 V 3.50
Se (0.0000, 0.0000, 0.0000)  2 V 2.27, 4 Hf 2.47

Summary:
The calculation puts the energy at -31.5 eV for the cell shown. The value obtained for the uncorrected formation energy is 0.269 eV/atom. Its density of states at the Fermi level is 1.04 states/eV/atom. Its space group is P4/mmm.

=====

[2]
The following is a PBE calculation of a relaxed structure of HfVHgSe2, from Alexandria.

Cell lengths 4.7170, 4.7170, 5.1869 Å; angles 90.00, 90.00, 90.00 degrees
Closest atoms and distances in Å follow each position.
Fractional positions:
Hf (0.0000, 0.0000, 0.0000)  4 Hg 3.34, 8 Se 3.51
V (0.5000, 0.5000, 0.5000)  4 Se 2.36, 2 Hg 2.59
Hg (0.5000, 0.5000, 0.0000)  2 V 2.59
Se (0.0000, 0.5000, 0.5000)  2 V 2.36
Se (0.5000, 0.0000, 0.5000)  2 V 2.36

Summary:
The calculation puts the energy at -24.5 eV for the cell shown. The value obtained for the uncorrected formation energy is 0.366 eV/atom. Its density of states at the Fermi level is 0.98 states/eV/atom. Its space group is P4/mmm.

=====

[3]
The following is a PBE calculation of a relaxed structure of Hf5Si2Hg2, from Alexandria.

Cell lengths 8.1677, 8.1677, 7.0031 Å; angles 90.00, 90.00, 50.37 degrees
Closest atoms and distances in Å follow each position.
Fractional positions:
Hf (0.0000, 0.0000, 0.0000)  4 Si 2.77, 4 Hf 3.10
Hf (0.0609, 0.6968, 0.6754)  3 Si 2.66-2.79, 2 Hg 2.92-2.93
Hf (0.1968, 0.5609, 0.1754)  3 Si 2.66-2.79, 2 Hg 2.92-2.93
Hf (0.3032, 0.9391, 0.6754)  3 Si 2.66-2.79, 2 Hg 2.92-2.93
Hf (0.4391, 0.8032, 0.1754)  3 Si 2.66-2.79, 2 Hg 2.92-2.93
Hf (0.5000, 0.5000, 0.5000)  4 Si 2.77, 4 Hf 3.10
Hf (0.5609, 0.1968, 0.8246)  3 Si 2.66-2.79, 2 Hg 2.92-2.93
Hf (0.6968, 0.0609, 0.3246)  3 Si 2.66-2.79, 2 Hg 2.92-2.93
Hf (0.8032, 0.4391, 0.8246)  3 Si 2.66-2.79, 2 Hg 2.92-2.93
Hf (0.9391, 0.3032, 0.3246)  3 Si 2.66-2.79, 2 Hg 2.92-2.93
Si (0.1214, 0.8786, 0.3764)  1 Si 2.42, 2 Hf 2.66
Si (0.3786, 0.6214, 0.8764)  1 Si 2.42, 2 Hf 2.66
Si (0.6214, 0.3786, 0.1236)  1 Si 2.42, 2 Hf 2.66
Si (0.8786, 0.1214, 0.6236)  1 Si 2.42, 2 Hf 2.66
Hg (0.2211, 0.2211, 0.0000)  7 Hf 2.92-3.27
Hg (0.2789, 0.2789, 0.5000)  7 Hf 2.92-3.27
Hg (0.7211, 0.7211, 0.5000)  7 Hf 2.92-3.27
Hg (0.7789, 0.7789, 0.0000)  7 Hf 2.92-3.27

Summary:
The calculation puts the energy at -130.1 eV for the cell shown. The value obtained for the uncorrected formation energy is -0.425 eV/atom. Its density of states at the Fermi level is 0.75 states/eV/atom. Its space group is Cmce.

=====

[4]
The following is a PBE calculation of a relaxed structure of HfSiHg3, from Alexandria.

Cell lengths 4.9821, 4.9821, 4.9821 Å; angles 90.00, 90.00, 90.00 degrees
Closest atoms and distances in Å follow each position.
Fractional positions:
Hf (0.0000, 0.0000, 0.0000)  12 Hg 3.52
Si (0.5000, 0.5000, 0.5000)  6 Hg 2.49
Hg (0.0000, 0.5000, 0.5000)  2 Si 2.49
Hg (0.5000, 0.0000, 0.5000)  2 Si 2.49
Hg (0.5000, 0.5000, 0.0000)  2 Si 2.49

Summary:
As for the energy above the most stable polymorph in this dataset: 0 kJ/mol of formula units. The calculation puts the energy at -12.4 eV for the cell shown. The value obtained for the uncorrected formation energy is 0.783 eV/atom. Its density of states at the Fermi level is 0.76 states/eV/atom. Its space group is Pm-3m.

=====

[5]
The following is a PBE calculation of a relaxed structure of HfSiHg3, from Alexandria.

Cell lengths 5.4685, 5.4685, 5.4685 Å; angles 90.00, 90.00, 90.00 degrees
Closest atoms and distances in Å follow each position.
Fractional positions:
Hf (0.0000, 0.0000, 0.0000)  6 Hg 2.73
Si (0.5000, 0.5000, 0.5000)  12 Hg 3.87
Hg (0.0000, 0.0000, 0.5000)  2 Hf 2.73
Hg (0.0000, 0.5000, 0.0000)  2 Hf 2.73
Hg (0.5000, 0.0000, 0.0000)  2 Hf 2.73

Summary:
As for the energy above the most stable polymorph in this dataset: 125 kJ/mol of formula units. The calculation puts the energy at -11.1 eV for the cell shown. The value obtained for the uncorrected formation energy is 1.043 eV/atom. Its density of states at the Fermi level is 1.08 states/eV/atom. Its space group is Pm-3m.

=====

[6]
The following is a PBE calculation of a relaxed structure of Hf2Si2Hg, from Alexandria.

Cell lengths 6.9418, 6.9418, 3.7269 Å; angles 90.00, 90.00, 90.00 degrees
Closest atoms and distances in Å follow each position.
Fractional positions:
Hf (0.1785, 0.3215, 0.0000)  6 Si 2.73-2.81
Hf (0.3215, 0.8215, 0.0000)  6 Si 2.73-2.81
Hf (0.6785, 0.1785, 0.0000)  6 Si 2.73-2.81
Hf (0.8215, 0.6785, 0.0000)  6 Si 2.73-2.81
Si (0.1190, 0.6190, 0.5000)  1 Si 2.34
Si (0.3810, 0.1190, 0.5000)  1 Si 2.34
Si (0.6190, 0.8810, 0.5000)  1 Si 2.34
Si (0.8810, 0.3810, 0.5000)  1 Si 2.34
Hg (0.0000, 0.0000, 0.5000)  4 Si 2.77
Hg (0.5000, 0.5000, 0.5000)  4 Si 2.77

Summary:
The calculation puts the energy at -65.5 eV for the cell shown. The value obtained for the uncorrected formation energy is -0.341 eV/atom. Its density of states at the Fermi level is 0.52 states/eV/atom. Its space group is P4/mbm.

=====

[7]
The following is a PBE calculation of a relaxed structure of HfSi3Hg, from Alexandria.

Cell lengths 5.1184, 5.1184, 5.1184 Å; angles 90.00, 90.00, 90.00 degrees
Closest atoms and distances in Å follow each position.
Fractional positions:
Hf (0.0000, 0.0000, 0.0000)  6 Si 2.56
Si (0.0000, 0.0000, 0.5000)  2 Hf 2.56
Si (0.0000, 0.5000, 0.0000)  2 Hf 2.56
Si (0.5000, 0.0000, 0.0000)  2 Hf 2.56
Hg (0.5000, 0.5000, 0.5000)  12 Si 3.62

Summary:
As for the energy above the most stable polymorph in this dataset: 0 kJ/mol of formula units. The calculation puts the energy at -22.7 eV for the cell shown. The value obtained for the uncorrected formation energy is 0.760 eV/atom. Its density of states at the Fermi level is 0.51 states/eV/atom. Its space group is Pm-3m.

=====

[8]
The following is a PBE calculation of a relaxed structure of HfSi3Hg, from Alexandria.

Cell lengths 4.9092, 4.9092, 4.9092 Å; angles 90.00, 90.00, 90.00 degrees
Closest atoms and distances in Å follow each position.
Fractional positions:
Hf (0.0000, 0.0000, 0.0000)  12 Si 3.47
Si (0.0000, 0.5000, 0.5000)  2 Hg 2.45
Si (0.5000, 0.0000, 0.5000)  2 Hg 2.45
Si (0.5000, 0.5000, 0.0000)  2 Hg 2.45
Hg (0.5000, 0.5000, 0.5000)  6 Si 2.45

Summary:
As for the energy above the most stable polymorph in this dataset: 290 kJ/mol of formula units. The calculation puts the energy at -19.7 eV for the cell shown. The value obtained for the uncorrected formation energy is 1.362 eV/atom. Its density of states at the Fermi level is 0.91 states/eV/atom. Its space group is Pm-3m.

=====

[9]
The following is a PBE calculation of a relaxed structure of YHfSiHg2, from Alexandria.

Cell lengths 5.4059, 5.4059, 5.1499 Å; angles 90.00, 90.00, 90.00 degrees
Closest atoms and distances in Å follow each position.
Fractional positions:
Y (0.0000, 0.0000, 0.0000)  2 Si 2.57, 4 Hg 2.70
Hf (0.5000, 0.5000, 0.5000)  8 Hg 3.73, 4 Si 3.82
Si (0.0000, 0.0000, 0.5000)  2 Y 2.57
Hg (0.0000, 0.5000, 0.0000)  2 Y 2.70
Hg (0.5000, 0.0000, 0.0000)  2 Y 2.70

Summary:
The calculation puts the energy at -17.0 eV for the cell shown. The value obtained for the uncorrected formation energy is 1.081 eV/atom. Its density of states at the Fermi level is 1.28 states/eV/atom. Its space group is P4/mmm.

=====

[10]
The following is a PBE calculation of a relaxed structure of SmHfHg2, from Alexandria.

Cell lengths 5.1558, 5.1558, 5.1558 Å; angles 60.00, 60.00, 60.00 degrees
Closest atoms and distances in Å follow each position.
Fractional positions:
Sm (0.0000, 0.0000, 0.0000)  8 Hg 3.16
Hf (0.5000, 0.5000, 0.5000)  8 Hg 3.16
Hg (0.2500, 0.2500, 0.2500)  4 Hf 3.16, 4 Sm 3.16
Hg (0.7500, 0.7500, 0.7500)  4 Hf 3.16, 4 Sm 3.16

Summary:
As for the energy above the most stable polymorph in this dataset: 20 kJ/mol of formula units. The calculation puts the energy at -15.8 eV for the cell shown. Its density of states at the Fermi level is 0.91 states/eV/atom. Its space group is Fm-3m.

=====

[11]
The following is a PBE calculation of a relaxed structure of SmHfHg2, from Alexandria.

Cell lengths 3.5881, 3.5881, 7.4682 Å; angles 90.00, 90.00, 90.00 degrees
Closest atoms and distances in Å follow each position.
Fractional positions:
Sm (0.0000, 0.0000, 0.0000)  8 Hg 3.28, 4 Sm 3.59
Hf (0.0000, 0.0000, 0.5000)  8 Hg 3.03
Hg (0.5000, 0.5000, 0.2778)  4 Hf 3.03, 4 Sm 3.28, 1 Hg 3.32
Hg (0.5000, 0.5000, 0.7222)  4 Hf 3.03, 4 Sm 3.28, 1 Hg 3.32

Summary:
As for the energy above the most stable polymorph in this dataset: 0 kJ/mol of formula units. The calculation puts the energy at -16.1 eV for the cell shown. Its density of states at the Fermi level is 0.97 states/eV/atom. Its space group is P4/mmm.

=====

[12]
The following is a PBE calculation of a relaxed structure of SmHfTlHg, from Alexandria.

Cell lengths 5.1984, 5.1984, 5.1984 Å; angles 60.00, 60.00, 60.00 degrees
Closest atoms and distances in Å follow each position.
Fractional positions:
Sm (0.0000, 0.0000, 0.0000)  4 Hg 3.18, 4 Tl 3.18
Hf (0.5000, 0.5000, 0.5000)  4 Tl 3.18, 4 Hg 3.18
Tl (0.7500, 0.7500, 0.7500)  4 Hf 3.18, 4 Sm 3.18
Hg (0.2500, 0.2500, 0.2500)  4 Hf 3.18, 4 Sm 3.18

Summary:
The calculation puts the energy at -17.7 eV for the cell shown. Its density of states at the Fermi level is 1.39 states/eV/atom. Its space group is F-43m.